[1]
# PBE-GGA Tb10Pr4Ho, optimized geometry
# Calculated total energy ... -64.7 eV for the cell shown
# Volume ... 511.8 Å³ per cell
data_Tb10Pr4Ho
_chemical_formula_sum 'Tb10 Pr4 Ho1'
_cell_length_a 10.6039
_cell_length_b 8.7396
_cell_length_c 8.7396
_cell_angle_alpha 68.41
_cell_angle_beta 52.65
_cell_angle_gamma 52.65
_space_group_name_H-M_alt 'P 1'
_space_group_IT_number 1
loop_
_space_group_symop_operation_xyz
'x,y,z'
loop_
_atom_site_label
_atom_site_fract_x
_atom_site_fract_y
_atom_site_fract_z
Pr1 0.9347 0.3969 0.7336
Pr2 0.3316 0.7336 0.6031
Pr3 0.0653 0.6031 0.2664
Pr4 0.6684 0.2664 0.3969
Tb1 0.5474 0.9044 0.6774
Tb2 0.7752 0.6774 0.0956
Tb3 0.5482 0.3226 0.9044
Tb4 0.2248 0.3226 0.9044
Tb5 0.4526 0.0956 0.3226
Tb6 0.4518 0.6774 0.0956
Tb7 0.2500 0.5000 0.5000
Tb8 0.7500 0.5000 0.5000
Tb9 0.1292 0.0956 0.3226
Tb10 0.8708 0.9044 0.6774
Ho1 0.0000 0.0000 0.0000

=====

[2]
# PBE-GGA TbPr7Ho2, optimized geometry
# Calculated total energy ... -43.6 eV for the cell shown
# Volume ... 367.7 Å³ per cell
data_TbPr7Ho2
_chemical_formula_sum 'Tb1 Pr7 Ho2'
_cell_length_a 3.5326
_cell_length_b 10.4846
_cell_length_c 10.4845
_cell_angle_alpha 108.75
_cell_angle_beta 90.00
_cell_angle_gamma 90.00
_space_group_name_H-M_alt 'P 1'
_space_group_IT_number 1
loop_
_space_group_symop_operation_xyz
'x,y,z'
loop_
_atom_site_label
_atom_site_fract_x
_atom_site_fract_y
_atom_site_fract_z
Pr1 0.5000 0.3832 0.1249
Pr2 0.5000 0.5000 0.5000
Pr3 0.5000 0.8751 0.6168
Pr4 0.0000 0.6787 0.3213
Pr5 0.5000 0.6168 0.8751
Pr6 0.0000 0.3213 0.6787
Pr7 0.5000 0.1249 0.3832
Ho1 0.5000 0.1654 0.8346
Ho2 0.5000 0.8346 0.1654
Tb1 0.0000 0.0000 0.0000

=====

[3]
# PBE-GGA Tb3Pr2Ho2, optimized geometry
# Calculated total energy ... -32.5 eV for the cell shown
# Volume ... 229.6 Å³ per cell
data_Tb3Pr2Ho2
_chemical_formula_sum 'Tb3 Pr2 Ho2'
_cell_length_a 3.5902
_cell_length_b 8.0447
_cell_length_c 9.4902
_cell_angle_alpha 114.86
_cell_angle_beta 100.94
_cell_angle_gamma 102.89
_space_group_name_H-M_alt 'P 1'
_space_group_IT_number 1
loop_
_space_group_symop_operation_xyz
'x,y,z'
loop_
_atom_site_label
_atom_site_fract_x
_atom_site_fract_y
_atom_site_fract_z
Tb1 0.7882 0.1466 0.4295
Tb2 0.5000 0.0000 0.0000
Tb3 0.2118 0.8534 0.5705
Ho1 0.6419 0.5724 0.7114
Ho2 0.3581 0.4276 0.2886
Pr1 0.0690 0.2834 0.8549
Pr2 0.9310 0.7166 0.1451